ZrRhAu2 after structural relaxation, computed with PBE.

Properties
* symmetry: Cmmm
* calculated formation energy: -0.430 eV per atom
* density of states at the Fermi level: 0.795 states/eV/atom

abc: 6.959 4.109 4.207
angles: 90.02 52.81 122.56
Element x y z (fractional)
1 Au 0.000 0.000 0.000
2 Au 0.500 0.000 0.500
3 Rh 0.000 0.500 0.500
4 Zr 0.500 0.500 0.000


ZrRhAu after structural relaxation, computed with PBE.

Properties
* symmetry: F-43m
* calculated formation energy: -0.176 eV per atom
* density of states at the Fermi level: 0.647 states/eV/atom

abc: 4.479 4.479 4.479
angles: 60.00 60.00 60.00
Element x y z (fractional)
1 Au 0.000 0.000 0.000
2 Rh 0.500 0.500 0.500
3 Zr 0.750 0.750 0.750


ZrRh2Au after structural relaxation, computed with PBE.

Properties
* symmetry: F-43m
* calculated formation energy: -0.304 eV per atom
* density of states at the Fermi level: 1.785 states/eV/atom

abc: 4.582 4.582 4.582
angles: 60.00 60.00 60.00
Element x y z (fractional)
1 Au 0.500 0.500 0.500
2 Rh 0.000 0.000 0.000
3 Rh 0.250 0.250 0.250
4 Zr 0.750 0.750 0.750


Ru2Au after structural relaxation, computed with PBE.

Properties
* symmetry: P6/mmm
* calculated formation energy: 0.491 eV per atom
* density of states at the Fermi level: 1.198 states/eV/atom

abc: 4.433 4.433 2.732
angles: 90.00 90.00 120.00
Element x y z (fractional)
1 Au 0.000 0.000 0.000
2 Ru 0.333 0.667 0.500
3 Ru 0.667 0.333 0.500


Repeat the second record exactly.
ZrRhAu after structural relaxation, computed with PBE.

Properties
* symmetry: F-43m
* calculated formation energy: -0.176 eV per atom
* density of states at the Fermi level: 0.647 states/eV/atom

abc: 4.479 4.479 4.479
angles: 60.00 60.00 60.00
Element x y z (fractional)
1 Au 0.000 0.000 0.000
2 Rh 0.500 0.500 0.500
3 Zr 0.750 0.750 0.750


Question: Among the records above, which one has the highest density of states at the Fermi level?
Answer: ZrRh2Au